No. 1
The following is a GGA-PBE calculation of an optimized crystal structure of Hf4ZnFeC2, from the Open Quantum Materials Database.

volume = 125.67 Å³/f.u.
electronic total energy = -71.43 eV per formula unit
mass density = 11.35 Mg/m³

Geometry as CIF:
```
data_Hf4ZnFeC2
_space_group_name_H-M_alt 'P -6 m 2'
_space_group_IT_number 187
_space_group_name_Hall 'P -6 2'
_cell_length_a 3.2386
_cell_length_b 3.2386
_cell_length_c 13.8360
_cell_angle_alpha 90.00
_cell_angle_beta 90.00
_cell_angle_gamma 120.00
loop_
_atom_site_label
_atom_site_fract_x
_atom_site_fract_y
_atom_site_fract_z
Hf1 0.0000 0.0000 0.1417
Hf2 0.6667 0.3333 0.3306
Zn1 0.0000 0.0000 0.5000
Fe1 0.6667 0.3333 0.0000
C1 0.3333 0.6667 0.2423
```

=====

No. 2
The following is a GGA-PBE calculation of an optimized crystal structure of Hf2Zr4Fe3C3, from the Open Quantum Materials Database.

volume = 187.05 Å³/f.u.
electronic total energy = -110.23 eV per formula unit
mass density = 8.22 Mg/m³

Geometry as CIF:
```
data_Hf2Zr4Fe3C3
_space_group_name_H-M_alt 'C 1 2/c 1'
_space_group_IT_number 15
_cell_length_a 9.7101
_cell_length_b 5.6041
_cell_length_c 14.0915
_cell_angle_alpha 90.00
_cell_angle_beta 102.65
_cell_angle_gamma 90.00
loop_
_space_group_symop_operation_xyz
'x,y,z'
'-x,-y,-z'
'-x,y,-z+1/2'
'x,-y,z+1/2'
'x+1/2,y+1/2,z'
'-x+1/2,-y+1/2,-z'
'-x+1/2,y+1/2,-z+1/2'
'x+1/2,-y+1/2,z+1/2'
loop_
_atom_site_label
_atom_site_fract_x
_atom_site_fract_y
_atom_site_fract_z
Hf1 0.0501 0.0828 0.3964
Zr1 0.1130 0.4170 0.5932
Zr2 0.2202 0.4162 0.9068
Fe1 0.0000 0.4255 0.7500
Fe2 0.2409 0.1589 0.7500
C1 0.0795 0.2385 0.0001
C2 0.2500 0.2500 0.5000
```

=====

No. 3
The following is a GGA-PBE calculation of an optimized crystal structure of Fe4HgC2S, from the Open Quantum Materials Database.

volume = 90.70 Å³/f.u.
electronic total energy = -54.78 eV per formula unit
mass density = 8.79 Mg/m³

Geometry as CIF:
```
data_Fe4HgC2S
_space_group_name_H-M_alt 'P -6 m 2'
_space_group_IT_number 187
_space_group_name_Hall 'P -6 2'
_cell_length_a 3.0209
_cell_length_b 3.0209
_cell_length_c 11.4761
_cell_angle_alpha 90.00
_cell_angle_beta 90.00
_cell_angle_gamma 120.00
loop_
_atom_site_label
_atom_site_fract_x
_atom_site_fract_y
_atom_site_fract_z
Fe1 0.0000 0.0000 0.1401
Fe2 0.6667 0.3333 0.2982
Hg1 0.0000 0.0000 0.5000
C1 0.3333 0.6667 0.2353
S1 0.6667 0.3333 0.0000
```

=====

No. 4
The following is a GGA-PBE calculation of an optimized crystal structure of Sc2FeHgC, from the Open Quantum Materials Database.

volume = 79.42 Å³/f.u.
electronic total energy = -32.67 eV per formula unit
mass density = 7.49 Mg/m³

Geometry as CIF:
```
data_Sc2FeHgC
_space_group_name_H-M_alt 'P 4/m m m'
_space_group_IT_number 123
_space_group_name_Hall '-P 4 2'
_cell_length_a 4.6403
_cell_length_b 4.6403
_cell_length_c 3.6884
_cell_angle_alpha 90.00
_cell_angle_beta 90.00
_cell_angle_gamma 90.00
loop_
_atom_site_label
_atom_site_fract_x
_atom_site_fract_y
_atom_site_fract_z
Sc1 0.0000 0.5000 0.0000
Fe1 0.0000 0.0000 0.5000
Hg1 0.5000 0.5000 0.5000
C1 0.0000 0.0000 0.0000
```

=====

No. 5
The following is a GGA-PBE calculation of an optimized crystal structure of Ho2Fe5C4, from the Open Quantum Materials Database.

volume = 117.01 Å³/f.u.
electronic total energy = -89.79 eV per formula unit
mass density = 9.33 Mg/m³

Geometry as CIF:
```
data_Ho2Fe5C4
_space_group_name_H-M_alt 'F m m m'
_space_group_IT_number 69
_space_group_name_Hall '-F 2 2'
_cell_length_a 4.9531
_cell_length_b 9.2093
_cell_length_c 10.2607
_cell_angle_alpha 90.00
_cell_angle_beta 90.00
_cell_angle_gamma 90.00
loop_
_atom_site_label
_atom_site_fract_x
_atom_site_fract_y
_atom_site_fract_z
Ho1 0.0000 0.0000 0.1470
Fe1 0.0000 0.0000 0.5000
Fe2 0.2500 0.2500 0.0000
Fe3 0.2500 0.2500 0.2500
C1 0.0000 0.1603 0.3688
```

=====

No. 6
The following is a GGA-PBE calculation of an optimized crystal structure of Ho2Fe14C, from the Open Quantum Materials Database.

volume = 221.31 Å³/f.u.
electronic total energy = -136.03 eV per formula unit
mass density = 8.43 Mg/m³

Geometry as CIF:
```
data_Ho2Fe14C
_space_group_name_H-M_alt 'P 42/m n m'
_space_group_IT_number 136
_space_group_name_Hall '-P 4n 2n'
_cell_length_a 8.7042
_cell_length_b 8.7042
_cell_length_c 11.6844
_cell_angle_alpha 90.00
_cell_angle_beta 90.00
_cell_angle_gamma 90.00
loop_
_atom_site_label
_atom_site_fract_x
_atom_site_fract_y
_atom_site_fract_z
Ho1 0.1439 0.1439 0.0000
Ho2 0.2411 0.2411 0.5000
Fe1 0.0000 0.0000 0.3916
Fe2 0.0000 0.5000 0.0000
Fe3 0.0360 0.6422 0.1753
Fe4 0.0644 0.7253 0.3796
Fe5 0.0970 0.9030 0.2033
Fe6 0.1842 0.1842 0.2546
C1 0.1273 0.8727 0.5000
```

=====

Question: Look up the volume of the sixth one.
Answer: 221.31 Å³/f.u.

=====

Question: Which formula does entry 3 have?
Answer: Fe4HgC2S